Record 1
A relaxed Th2RhPb crystal. Source: Alexandria, functional PBE-GGA.

Lattice parameters (Å, degrees): 3.493 3.493 8.633 90.00 90.00 90.00
Positions (direct):
Th  0.000  0.000  0.210
Th  0.000  0.000  0.790
Rh  0.500  0.500  0.000
Pb  0.500  0.500  0.500

Summary:
Density, Mg/m³: 12.21
Space group: P4/mmm
Energy relative to the elements, kJ/mol of atoms: -49.85
Density of states at the Fermi level, states/eV/atom: 0.89

---

Record 2
A relaxed Th2Rh6Pb crystal. Source: Alexandria, functional PBE-GGA.

Lattice parameters (Å, degrees): 7.320 7.320 7.320 147.92 113.43 75.82
Positions (direct):
Th  0.165  0.165  0.000
Th  0.835  0.835  0.000
Rh  0.081  0.335  0.747
Rh  0.253  0.000  0.253
Rh  0.412  0.665  0.747
Rh  0.588  0.335  0.253
Rh  0.747  0.000  0.747
Rh  0.919  0.665  0.253
Pb  0.500  0.500  0.000

Summary:
Density, Mg/m³: 11.40
Space group: Immm
Energy relative to the elements, kJ/mol of atoms: -32.43
Density of states at the Fermi level, states/eV/atom: 0.70

---

Record 3
A relaxed Ti2RhPb crystal. Source: Alexandria, functional PBE-GGA.

Lattice parameters (Å, degrees): 10.112 10.112 10.112 157.32 157.32 32.29
Positions (direct):
Ti  0.124  0.625  0.999
Ti  0.375  0.374  0.499
Ti  0.626  0.125  0.001
Ti  0.875  0.876  0.501
Rh  0.250  0.750  0.500
Rh  0.500  0.500  0.000
Pb  0.000  0.000  0.000
Pb  0.750  0.250  0.500

Summary:
Density, Mg/m³: 8.77
Space group: I-42d
Energy relative to the elements, kJ/mol of atoms: 23.47
Density of states at the Fermi level, states/eV/atom: 1.01

---

Record 4
A relaxed Ti2RhPb crystal. Source: Alexandria, functional PBE-GGA.

Lattice parameters (Å, degrees): 3.025 3.025 7.913 90.00 90.00 90.00
Positions (direct):
Ti  0.000  0.000  0.210
Ti  0.000  0.000  0.790
Rh  0.500  0.500  0.000
Pb  0.500  0.500  0.500

Summary:
Density, Mg/m³: 9.31
Space group: P4/mmm
Energy relative to the elements, kJ/mol of atoms: -24.67
Density of states at the Fermi level, states/eV/atom: 1.27

---

Record 5
A relaxed TiRh2Pb crystal. Source: Alexandria, functional PBE-GGA.

Lattice parameters (Å, degrees): 3.137 3.137 7.111 90.00 90.00 90.00
Positions (direct):
Ti  0.000  0.000  0.000
Rh  0.500  0.500  0.203
Rh  0.500  0.500  0.797
Pb  0.000  0.000  0.500

Summary:
Density, Mg/m³: 10.93
Space group: P4/mmm
Energy relative to the elements, kJ/mol of atoms: -39.23
Density of states at the Fermi level, states/eV/atom: 0.91

---

Record 6
A relaxed Ti3RhPb crystal. Source: Alexandria, functional PBE-GGA.

Lattice parameters (Å, degrees): 4.749 4.749 4.749 90.00 90.00 90.00
Positions (direct):
Ti  0.000  0.000  0.500
Ti  0.000  0.500  0.000
Ti  0.500  0.000  0.000
Rh  0.000  0.000  0.000
Pb  0.500  0.500  0.500

Summary:
Density, Mg/m³: 7.03
Energy above the most stable polymorph in this dataset, meV per atom: 0
Space group: Pm-3m
Energy relative to the elements, kJ/mol of atoms: 14.27
Density of states at the Fermi level, states/eV/atom: 1.09